No. 1
SrCd2Au: single point on PBEsol structure, SCAN.

space-group type	P2/m
energy of formation from the pure elements	-0.426	eV/atom

The structure in POSCAR format:
```
SrCd2Au
1.0
3.935 0.000 -0.042
0.000 4.859 0.000
-1.133 0.000 5.378
Au Cd Sr
1 2 1
direct
0.000 0.500 0.500
0.879 0.000 0.725
0.121 0.000 0.275
0.500 0.500 0.000
```



No. 2
LiCu2O4: single point on PBEsol structure, SCAN.

space-group type	Fd-3m
formation energy from raw total energies	-917	meV per atom

The structure in POSCAR format:
```
LiCu2O4
1.0
5.783 0.000 0.000
2.891 5.008 0.000
2.891 1.669 4.722
Li Cu O
2 4 8
direct
0.250 0.250 0.250
0.000 0.000 0.000
0.125 0.625 0.625
0.625 0.125 0.625
0.625 0.625 0.125
0.625 0.625 0.625
0.862 0.862 0.862
0.414 0.862 0.862
0.388 0.388 0.388
0.388 0.836 0.388
0.836 0.388 0.388
0.388 0.388 0.836
0.862 0.414 0.862
0.862 0.862 0.414
```



No. 3
Ba3La3Ti4NbO18: single point on PBEsol structure, SCAN.

space-group type	R3m
formation energy from raw total energies	-3433	meV per atom

The structure in POSCAR format:
```
Ba3La3Ti4NbO18
1.0
5.605 0.000 0.000
2.803 4.854 0.000
2.803 1.618 13.566
Nb La Ba O Ti
1 3 3 18 4
direct
0.050 0.050 0.850
0.590 0.590 0.229
0.314 0.314 0.059
0.139 0.139 0.584
0.862 0.862 0.413
0.689 0.689 0.934
0.416 0.416 0.753
0.413 0.922 0.743
0.922 0.413 0.743
0.922 0.922 0.743
0.310 0.797 0.095
0.797 0.310 0.095
0.797 0.797 0.095
0.357 0.357 0.421
0.864 0.357 0.421
0.357 0.864 0.421
0.639 0.139 0.583
0.139 0.639 0.583
0.639 0.639 0.583
0.197 0.197 0.919
0.688 0.197 0.919
0.197 0.688 0.919
0.086 0.086 0.251
0.086 0.577 0.251
0.577 0.086 0.251
0.949 0.949 0.154
0.778 0.778 0.667
0.502 0.502 0.495
0.225 0.225 0.325
```



No. 4
ZnRuF3: single point on PBEsol structure, SCAN.

space-group type	Pm-3m
formation energy from raw total energies	-1063	meV per atom

The structure in POSCAR format:
```
ZnRuF3
1.0
4.108 0.000 0.000
0.000 4.108 0.000
0.000 0.000 4.108
Ru Zn F
1 1 3
direct
0.000 0.000 0.000
0.500 0.500 0.500
0.000 0.500 0.000
0.000 0.000 0.500
0.500 0.000 0.000
```



No. 5
LaSb2MoI: single point on PBEsol structure, SCAN.

space-group type	P4/mmm
formation energy from raw total energies	2	meV per atom

The structure in POSCAR format:
```
LaSb2MoI
1.0
-3.190 -4.018 0.132
3.824 -3.084 -1.482
1.349 -0.896 5.345
I Sb Mo La
1 2 1 1
direct
0.000 0.000 0.500
0.000 0.500 0.000
0.500 0.000 0.000
0.000 0.000 0.000
0.500 0.500 0.500
```



No. 6
Ti2GeTe: single point on PBEsol structure, SCAN.

space-group type	Fm-3m
formation energy from raw total energies	-296	meV per atom

The structure in POSCAR format:
```
Ti2GeTe
1.0
-2.058 -3.415 -2.352
0.666 -4.405 1.258
-3.449 -2.398 1.944
Ge Te Ti
1 1 2
direct
0.000 0.000 0.000
0.500 0.500 0.500
0.250 0.250 0.250
0.750 0.750 0.750
```



No. 7
Cu2Ag: single point on PBEsol structure, SCAN.

space-group type	I4/mmm
energy of formation from the pure elements	0.100	eV/atom

The structure in POSCAR format:
```
Cu2Ag
1.0
-0.638 2.610 -0.004
-1.182 -0.293 -2.395
-3.809 -2.308 3.670
Ag Cu
1 2
direct
0.000 0.000 0.000
0.324 0.324 0.647
0.676 0.676 0.353
```



No. 8
NiH8C2O10: single point on PBEsol structure, SCAN.

space-group type	P2_1/c

The structure in POSCAR format:
```
NiH8C2O10
1.0
6.177 0.000 0.000
0.000 5.928 0.061
0.000 1.509 10.312
Ni H C O
2 16 4 20
direct
0.000 0.000 0.000
0.500 0.500 0.500
0.308 0.776 0.054
0.307 0.239 0.047
0.085 0.305 0.122
0.109 0.673 0.160
0.585 0.195 0.378
0.807 0.261 0.453
0.609 0.827 0.340
0.808 0.724 0.446
0.192 0.276 0.554
0.391 0.173 0.660
0.193 0.739 0.547
0.415 0.805 0.622
0.891 0.327 0.840
0.915 0.695 0.878
0.693 0.761 0.953
0.692 0.224 0.946
0.630 0.099 0.152
0.130 0.401 0.348
0.870 0.599 0.652
0.370 0.901 0.848
0.139 0.262 0.037
0.544 0.223 0.053
0.183 0.820 0.114
0.820 0.003 0.146
0.037 0.442 0.237
0.537 0.058 0.263
0.320 0.497 0.354
0.044 0.277 0.447
0.639 0.238 0.463
0.683 0.680 0.386
0.317 0.320 0.614
0.361 0.762 0.537
0.956 0.723 0.553
0.680 0.503 0.646
0.463 0.942 0.737
0.963 0.558 0.763
0.180 0.997 0.854
0.817 0.180 0.886
0.456 0.777 0.947
0.861 0.738 0.963
```



Number 1: energy -38.491 eV/atom, DOS(E_F) 0.4777 states/eV per atom. Number 2: energy -9.162 eV/atom, DOS(E_F) 0.3902 states/eV per atom. Number 3: energy -19.205 eV/atom, DOS(E_F) 0.0000 states/eV per atom. Number 4: energy -12.855 eV/atom, DOS(E_F) 0.5525 states/eV per atom. Number 5: energy -37.849 eV/atom, DOS(E_F) 0.6798 states/eV per atom. Number 6: energy -22.396 eV/atom, DOS(E_F) 1.4833 states/eV per atom. Number 7: energy -20.489 eV/atom, DOS(E_F) 0.2176 states/eV per atom. Number 8: energy -7.124 eV/atom, DOS(E_F) 0.0000 states/eV per atom.